# 1
Here is YCd2PtO after structural relaxation from Alexandria. Energies are from PBE.

Cell lengths 5.0844, 5.2927, 5.0844 Å; angles 90.00, 90.00, 90.00 degrees
Element x y z (fractional)
Pt  0.0000  0.0000  0.0000
Y  0.0000  0.5000  0.0000
Cd  0.0000  0.0000  0.5000
Cd  0.5000  0.0000  0.0000
O  0.5000  0.5000  0.5000

Computed properties:
The value obtained for the total energy is -3.90 eV per atom. The calculation puts the density of states at the Fermi level at 2.8 states/eV/cell.

***

# 2
Here is ZnCdPt2O after structural relaxation from Alexandria. Energies are from PBE.

Cell lengths 4.5522, 3.8641, 4.5522 Å; angles 90.00, 90.00, 90.00 degrees
Element x y z (fractional)
Pt  0.5000  0.0000  0.0000
Pt  0.0000  0.0000  0.5000
Zn  0.0000  0.5000  0.0000
Cd  0.5000  0.5000  0.5000
O  0.0000  0.0000  0.0000

Computed properties:
The value obtained for the total energy is -3.84 eV per atom. The calculation puts the density of states at the Fermi level at 1.2 states/eV/cell.

***

# 3
Here is ZrCdPtO6 after structural relaxation from Alexandria. Energies are from PBE.

Cell lengths 5.4273, 5.4273, 9.4129 Å; angles 90.00, 90.00, 120.00 degrees
Element x y z (fractional)
O  0.9818  0.6294  0.3661
O  0.3524  0.9818  0.6339
O  0.6294  0.6476  0.6339
O  0.6294  0.9818  0.8661
O  0.9818  0.3524  0.1339
O  0.3706  0.0182  0.1339
O  0.6476  0.6294  0.1339
O  0.3706  0.3524  0.3661
O  0.0182  0.6476  0.8661
O  0.6476  0.0182  0.3661
O  0.3524  0.3706  0.8661
O  0.0182  0.3706  0.6339
Zr  0.6667  0.3333  0.7500
Zr  0.3333  0.6667  0.2500
Cd  0.0000  0.0000  0.5000
Cd  0.0000  0.0000  0.0000
Pt  0.3333  0.6667  0.7500
Pt  0.6667  0.3333  0.2500

Computed properties:
The value obtained for the total energy is -6.38 eV per atom. The calculation puts the density of states at the Fermi level at 14.3 states/eV/cell.

***

# 4
Here is Pu2CdO8 after structural relaxation from Alexandria. Energies are from PBE.

Cell lengths 5.2932, 5.9749, 5.9749 Å; angles 70.00, 77.94, 77.94 degrees
Element x y z (fractional)
O  0.2995  0.6206  0.6206
O  0.3146  0.0747  0.6464
O  0.6854  0.3536  0.9253
O  0.3146  0.6464  0.0747
O  0.7787  0.8273  0.8273
O  0.6854  0.9253  0.3536
O  0.7005  0.3794  0.3794
O  0.2213  0.1727  0.1727
Pu  0.4641  0.2761  0.2761
Pu  0.5359  0.7239  0.7239
Cd  0.0000  0.0000  0.0000

Computed properties:
The value obtained for the total energy is -8.24 eV per atom. The calculation puts the density of states at the Fermi level at 5.9 states/eV/cell.

***

# 5
Here is PuCd6O8 after structural relaxation from Alexandria. Energies are from PBE.

Cell lengths 6.8065, 6.8065, 6.8065 Å; angles 60.00, 60.00, 60.00 degrees
Element x y z (fractional)
O  0.2291  0.2291  0.7709
O  0.7709  0.2291  0.2291
O  0.2291  0.7709  0.2291
O  0.7709  0.2291  0.7709
O  0.7500  0.7500  0.7500
O  0.2500  0.2500  0.2500
O  0.2291  0.7709  0.7709
O  0.7709  0.7709  0.2291
Cd  0.0000  0.5000  0.0000
Cd  0.5000  0.5000  0.0000
Cd  0.0000  0.5000  0.5000
Cd  0.5000  0.0000  0.0000
Cd  0.0000  0.0000  0.5000
Cd  0.5000  0.0000  0.5000
Pu  0.0000  0.0000  0.0000

Computed properties:
The value obtained for the total energy is -5.32 eV per atom. The calculation puts the density of states at the Fermi level at 10.9 states/eV/cell.

***

# 6
Here is PuCdO2 after structural relaxation from Alexandria. Energies are from PBE.

Cell lengths 3.6194, 3.6194, 6.6833 Å; angles 74.29, 74.29, 60.00 degrees
Element x y z (fractional)
O  0.1068  0.1068  0.6795
O  0.8932  0.8932  0.3205
Cd  0.5000  0.5000  0.5000
Pu  0.0000  0.0000  0.0000

Computed properties:
The value obtained for the total energy is -7.74 eV per atom. The calculation puts the density of states at the Fermi level at 4.8 states/eV/cell.

***

# 7
Here is Pu2CdO7 after structural relaxation from Alexandria. Energies are from PBE.

Cell lengths 3.8098, 3.8098, 10.4283 Å; angles 79.47, 79.47, 60.00 degrees
Element x y z (fractional)
O  0.2801  0.2801  0.1596
O  0.1338  0.1338  0.5986
O  0.7199  0.7199  0.8404
O  0.8662  0.8662  0.4014
O  0.0000  0.0000  0.0000
O  0.4172  0.4172  0.7483
O  0.5828  0.5828  0.2517
Cd  0.5000  0.5000  0.5000
Pu  0.9329  0.9329  0.2012
Pu  0.0671  0.0671  0.7988

Computed properties:
The value obtained for the total energy is -8.51 eV per atom. The calculation puts the density of states at the Fermi level at 8.9 states/eV/cell.

***

# 8
Here is PuCd3O6 after structural relaxation from Alexandria. Energies are from PBE.

Cell lengths 6.6835, 6.6835, 6.6835 Å; angles 90.85, 90.85, 90.85 degrees
Element x y z (fractional)
O  0.7978  0.4488  0.5915
O  0.9319  0.0706  0.2942
O  0.7058  0.0681  0.9294
O  0.4488  0.5915  0.7978
O  0.5512  0.4085  0.2022
O  0.0681  0.9294  0.7058
O  0.0706  0.2942  0.9319
O  0.2942  0.9319  0.0706
O  0.9294  0.7058  0.0681
O  0.2022  0.5512  0.4085
O  0.5915  0.7978  0.4488
O  0.4085  0.2022  0.5512
Cd  0.2507  0.5554  0.0643
Cd  0.5554  0.0643  0.2507
Cd  0.0643  0.2507  0.5554
Cd  0.4446  0.9357  0.7493
Cd  0.9357  0.7493  0.4446
Cd  0.7493  0.4446  0.9357
Pu  0.0000  0.0000  0.0000
Pu  0.5000  0.5000  0.5000

Computed properties:
The value obtained for the total energy is -6.30 eV per atom. The calculation puts the density of states at the Fermi level at 13.6 states/eV/cell.

***

# 9
Here is Pu3CdO after structural relaxation from Alexandria. Energies are from PBE.

Cell lengths 4.8870, 4.8870, 4.8870 Å; angles 90.00, 90.00, 90.00 degrees
Element x y z (fractional)
Pu  0.0000  0.0000  0.5000
Pu  0.5000  0.0000  0.0000
Pu  0.0000  0.5000  0.0000
O  0.0000  0.0000  0.0000
Cd  0.5000  0.5000  0.5000

Computed properties:
The value obtained for the total energy is -10.64 eV per atom. The calculation puts the density of states at the Fermi level at 23.6 states/eV/cell.

***

# 10
Here is Pu3Cd5O12 after structural relaxation from Alexandria. Energies are from PBE.

Cell lengths 11.3903, 11.3903, 11.3903 Å; angles 109.47, 109.47, 109.47 degrees
Element x y z (fractional)
Cd  0.7500  0.1250  0.8750
Cd  0.5000  0.5000  0.0000
Cd  0.5000  0.0000  0.0000
Cd  0.0000  0.5000  0.0000
Cd  0.6250  0.8750  0.2500
Cd  0.2500  0.8750  0.1250
Cd  0.3750  0.2500  0.1250
Cd  0.2500  0.3750  0.6250
Cd  0.0000  0.5000  0.5000
Cd  0.0000  0.0000  0.5000
Cd  0.1250  0.3750  0.2500
Cd  0.8750  0.6250  0.7500
Cd  0.7500  0.6250  0.3750
Cd  0.3750  0.1250  0.7500
Cd  0.0000  0.0000  0.0000
Cd  0.5000  0.0000  0.5000
Cd  0.8750  0.2500  0.6250
Cd  0.6250  0.7500  0.8750
Cd  0.1250  0.7500  0.3750
Cd  0.5000  0.5000  0.5000
Pu  0.8750  0.1250  0.2500
Pu  0.2500  0.1250  0.3750
Pu  0.6250  0.2500  0.3750
Pu  0.7500  0.8750  0.6250
Pu  0.1250  0.2500  0.8750
Pu  0.3750  0.6250  0.2500
Pu  0.1250  0.8750  0.7500
Pu  0.3750  0.7500  0.6250
Pu  0.8750  0.7500  0.1250
Pu  0.6250  0.3750  0.7500
Pu  0.2500  0.6250  0.8750
Pu  0.7500  0.3750  0.1250
O  0.1375  0.4058  0.0771
O  0.8625  0.5942  0.9229
O  0.4396  0.7683  0.8625
O  0.8625  0.2683  0.4396
O  0.5604  0.3287  0.9229
O  0.0604  0.6375  0.7317
O  0.0771  0.9058  0.1375
O  0.4058  0.1375  0.5771
O  0.1713  0.0771  0.9396
O  0.5771  0.6375  0.4058
O  0.7683  0.4396  0.3625
O  0.9229  0.0942  0.8625
O  0.6713  0.4396  0.5771
O  0.4229  0.0604  0.3287
O  0.1375  0.7317  0.5604
O  0.5942  0.7317  0.6713
O  0.3287  0.5604  0.4229
O  0.3625  0.4229  0.0942
O  0.9229  0.8287  0.5604
O  0.2317  0.5604  0.6375
O  0.2317  0.6713  0.0942
O  0.3287  0.7683  0.4058
O  0.5771  0.9396  0.6713
O  0.9058  0.0771  0.6375
O  0.4058  0.2683  0.3287
O  0.5604  0.2317  0.1375
O  0.6375  0.5771  0.9058
O  0.8287  0.9229  0.0604
O  0.4396  0.6713  0.0771
O  0.9396  0.3625  0.2683
O  0.1713  0.0942  0.7317
O  0.0604  0.4229  0.8287
O  0.0942  0.1713  0.2317
O  0.7317  0.1375  0.0604
O  0.0771  0.1713  0.4396
O  0.6713  0.2317  0.5942
O  0.8287  0.9058  0.2683
O  0.9396  0.5771  0.1713
O  0.5942  0.8625  0.4229
O  0.2683  0.4058  0.8287
O  0.4229  0.3625  0.5942
O  0.0942  0.9229  0.3625
O  0.6375  0.0604  0.2317
O  0.7683  0.3287  0.9058
O  0.2683  0.8625  0.9396
O  0.7317  0.5942  0.1713
O  0.9058  0.8287  0.7683
O  0.3625  0.9396  0.7683

Computed properties:
The value obtained for the total energy is -7.04 eV per atom. The calculation puts the density of states at the Fermi level at 81.9 states/eV/cell.

***

# 11
Here is Rb2PuCd2O6 after structural relaxation from Alexandria. Energies are from PBE.

Cell lengths 5.8288, 5.8288, 7.0523 Å; angles 99.88, 99.88, 117.80 degrees
Element x y z (fractional)
Rb  0.8235  0.1765  0.0000
Rb  0.1765  0.8235  0.0000
O  0.3557  0.0545  0.6792
O  0.2345  0.2345  0.3272
O  0.7655  0.7655  0.6728
O  0.0545  0.3557  0.6792
O  0.6443  0.9455  0.3208
O  0.9455  0.6443  0.3208
Pu  0.0000  0.0000  0.5000
Cd  0.3368  0.6632  0.5000
Cd  0.6632  0.3368  0.5000

Computed properties:
The value obtained for the total energy is -6.08 eV per atom. The calculation puts the density of states at the Fermi level at 6.8 states/eV/cell.

***

# 12
Here is RbPu2CdO8 after structural relaxation from Alexandria. Energies are from PBE.

Cell lengths 6.6589, 6.6589, 6.6589 Å; angles 110.31, 110.31, 107.81 degrees
Element x y z (fractional)
O  0.3143  0.4726  0.1583
O  0.8439  0.6857  0.1583
O  0.9104  0.6107  0.7003
O  0.5274  0.6857  0.8417
O  0.9104  0.2101  0.2997
O  0.3893  0.0896  0.2997
O  0.3143  0.1561  0.8417
O  0.7899  0.0896  0.7003
Rb  0.2500  0.7500  0.5000
Pu  0.7500  0.2500  0.5000
Pu  0.5000  0.5000  0.0000
Cd  0.0000  0.0000  0.0000

Computed properties:
The value obtained for the total energy is -7.40 eV per atom. The calculation puts the density of states at the Fermi level at 18.6 states/eV/cell.

***

# 13
Here is Rb2PuCdO4 after structural relaxation from Alexandria. Energies are from PBE.

Cell lengths 3.5452, 6.0658, 6.8857 Å; angles 108.37, 90.00, 90.00 degrees
Element x y z (fractional)
Rb  0.5000  0.0000  0.5000
Rb  0.0000  0.5000  0.5000
Cd  0.0000  0.0000  0.0000
O  0.0000  0.7015  0.1851
O  0.5000  0.2491  0.1760
O  0.0000  0.2985  0.8149
O  0.5000  0.7509  0.8240
Pu  0.5000  0.5000  0.0000

Computed properties:
The value obtained for the total energy is -6.50 eV per atom. The calculation puts the density of states at the Fermi level at 5.8 states/eV/cell.

***

# 14
Here is Rb3PuCd2O6 after structural relaxation from Alexandria. Energies are from PBE.

Cell lengths 6.4557, 6.4557, 6.5959 Å; angles 95.88, 95.88, 124.92 degrees
Element x y z (fractional)
O  0.1671  0.1671  0.7763
O  0.6124  0.9122  0.8268
O  0.3876  0.0878  0.1732
O  0.8329  0.8329  0.2237
O  0.9122  0.6124  0.8268
O  0.0878  0.3876  0.1732
Rb  0.5000  0.5000  0.5000
Rb  0.8203  0.1797  0.5000
Rb  0.1797  0.8203  0.5000
Cd  0.6936  0.3064  0.0000
Cd  0.3064  0.6936  0.0000
Pu  0.0000  0.0000  0.0000

Computed properties:
The value obtained for the total energy is -5.75 eV per atom. The calculation puts the density of states at the Fermi level at 6.2 states/eV/cell.

***

# 15
Here is Rb2PuCdO6 after structural relaxation from Alexandria. Energies are from PBE.

Cell lengths 6.1338, 6.1337, 6.1335 Å; angles 60.00, 59.99, 59.99 degrees
Element x y z (fractional)
O  0.0872  0.0870  0.2806
O  0.5454  0.0871  0.8224
O  0.0869  0.5452  0.2806
O  0.0871  0.5451  0.8224
O  0.5452  0.0872  0.2806
O  0.5451  0.5454  0.8224
Rb  0.0662  0.0662  0.8016
Rb  0.5662  0.5661  0.3014
Cd  0.8162  0.8162  0.5515
Pu  0.3162  0.3162  0.0515

Computed properties:
The value obtained for the total energy is -6.49 eV per atom. The calculation puts the density of states at the Fermi level at 6.4 states/eV/cell.

***

# 16
Here is Rb3Pu2CdO9 after structural relaxation from Alexandria. Energies are from PBE.

Cell lengths 6.1085, 6.1085, 7.5257 Å; angles 90.00, 90.00, 120.00 degrees
Element x y z (fractional)
Rb  0.3333  0.6667  0.6560
Rb  0.6667  0.3333  0.3440
Rb  0.0000  0.0000  0.0000
O  0.0000  0.5000  0.0000
O  0.5000  0.5000  0.0000
O  0.8205  0.6410  0.6864
O  0.6410  0.8205  0.3136
O  0.5000  0.0000  0.0000
O  0.3590  0.1795  0.6864
O  0.8205  0.1795  0.6864
O  0.1795  0.8205  0.3136
O  0.1795  0.3590  0.3136
Pu  0.3333  0.6667  0.1628
Pu  0.6667  0.3333  0.8372
Cd  0.0000  0.0000  0.5000

Computed properties:
The value obtained for the total energy is -7.23 eV per atom. The calculation puts the density of states at the Fermi level at 6.3 states/eV/cell.

***

# 17
Here is Rb4Pu3CdO12 after structural relaxation from Alexandria. Energies are from PBE.

Cell lengths 7.4923, 7.4923, 7.4923 Å; angles 109.47, 109.47, 109.47 degrees
Element x y z (fractional)
O  0.7251  0.0000  0.7251
O  0.5000  0.2500  0.7500
O  0.2749  0.0000  0.2749
O  0.0000  0.7251  0.7251
O  0.7251  0.7251  0.0000
O  0.5000  0.7500  0.2500
O  0.7500  0.5000  0.2500
O  0.2500  0.5000  0.7500
O  0.2749  0.2749  0.0000
O  0.2500  0.7500  0.5000
O  0.7500  0.2500  0.5000
O  0.0000  0.2749  0.2749
Rb  0.5000  0.5000  0.5000
Rb  0.0000  0.0000  0.5000
Rb  0.0000  0.5000  0.0000
Rb  0.5000  0.0000  0.0000
Pu  0.5000  0.0000  0.5000
Pu  0.5000  0.5000  0.0000
Pu  0.0000  0.5000  0.5000
Cd  0.0000  0.0000  0.0000

Computed properties:
The value obtained for the total energy is -7.61 eV per atom. The calculation puts the density of states at the Fermi level at 4.0 states/eV/cell.

***

# 18
Here is PuCdRhO6 after structural relaxation from Alexandria. Energies are from PBE.

Cell lengths 5.2373, 5.2373, 10.2048 Å; angles 90.00, 90.00, 120.00 degrees
Element x y z (fractional)
O  0.9982  0.3508  0.6387
O  0.3508  0.9982  0.1387
O  0.6492  0.0018  0.8613
O  0.3527  0.3508  0.8613
O  0.6473  0.6492  0.1387
O  0.3527  0.0018  0.6387
O  0.6473  0.9982  0.3613
O  0.9982  0.6473  0.8613
O  0.0018  0.3527  0.1387
O  0.3508  0.3527  0.3613
O  0.6492  0.6473  0.6387
O  0.0018  0.6492  0.3613
Pu  0.3333  0.6667  0.7500
Pu  0.6667  0.3333  0.2500
Rh  0.3333  0.6667  0.2500
Rh  0.6667  0.3333  0.7500
Cd  0.0000  0.0000  0.5000
Cd  0.0000  0.0000  0.0000

Computed properties:
The value obtained for the total energy is -7.42 eV per atom. The calculation puts the density of states at the Fermi level at 0.1 states/eV/cell.